## Y2MgMnCr (PBE)

Data for Y2MgMnCr after structural relaxation.

Calculated values
- Uncorrected energy: -6.2713 eV per atom
- Magnetization: 1.71 μB per formula unit
- ΔH_f (0 K): 0.39 eV/atom
- Space group: P4/mmm (123)
- N(E_F): 1.024 states/eV/atom

abc: 5.352 5.352 4.309
angles: 90.00 90.00 90.00
Fractional positions:
Y 0.000 0.500 0.000
Y 0.500 0.000 0.000
Mg 0.000 0.000 0.500
Mn 0.500 0.500 0.000
Cr 0.500 0.500 0.500